# Ac7Ru2Rh2 | Alexandria | PBE-GGA | relaxed
# **Energy**: -5.952 eV/atom
data_Ac7Ru2Rh2
_symmetry_space_group_name_H-M 'P 1'
_symmetry_Int_Tables_number 1
_cell_length_a 9.7122
_cell_length_b 9.7122
_cell_length_c 9.7122
_cell_angle_alpha 154.01
_cell_angle_beta 66.65
_cell_angle_gamma 119.84
loop_
_symmetry_equiv_pos_as_xyz
'x,y,z'
loop_
_atom_site_label
_atom_site_type_symbol
_atom_site_fract_x
_atom_site_fract_y
_atom_site_fract_z
_atom_site_occupancy
Ac1 Ac 0.0000 0.0000 0.0000 1
Ac2 Ac 0.2830 0.3943 0.8887 1
Ac3 Ac 0.2998 0.6097 0.6901 1
Ac4 Ac 0.5056 0.3943 0.1113 1
Ac5 Ac 0.5969 0.2247 0.3722 1
Ac6 Ac 0.8526 0.2247 0.6278 1
Ac7 Ac 0.9196 0.6097 0.3099 1
Ru1 Ru 0.2102 0.9483 0.2619 1
Ru2 Ru 0.6864 0.9483 0.7381 1
Rh1 Rh 0.2034 0.7034 0.5000 1
Rh2 Rh 0.6720 0.6720 0.0000 1